Record 1
Material: ReAs2AuSe
Method: DFT, PBE-GGA
State: optimized geometry

Properties
As for the total energy: -25.0 eV for the cell shown. The density of states at the Fermi level comes out at 4.739 states/eV/f.u. The excess energy over the best structure of this formula in the dataset comes out at 0 meV/atom. The calculation puts the magnetization at 0.00 μB/f.u. For the formation energy (no corrections), the calculation gives 699 meV per atom.

Cell lengths 4.8606, 4.8606, 4.8099 Å; angles 90.00, 90.00, 90.00 degrees
Last column: nearest neighbours and their distance in Å.
Space group P4/mmm (No. 123)
Unique sites:
1 Re 0.0000 0.0000 0.0000  2 Se 2.40, 4 As 2.43
2 As 0.0000 0.5000 0.0000  2 Re 2.43
3 Au 0.5000 0.5000 0.5000  8 As 3.42, 4 Se 3.44
4 Se 0.0000 0.0000 0.5000  2 Re 2.40



Record 2
Material: ReAsAuSe2
Method: DFT, PBE-GGA
State: optimized geometry

Properties
As for the total energy: -23.8 eV for the cell shown. The density of states at the Fermi level comes out at 3.964 states/eV/f.u. The excess energy over the best structure of this formula in the dataset comes out at 0 meV/atom. The calculation puts the magnetization at 0.00 μB/f.u. For the formation energy (no corrections), the calculation gives 700 meV per atom.

Cell lengths 4.8355, 4.8355, 4.9218 Å; angles 90.00, 90.00, 90.00 degrees
Last column: nearest neighbours and their distance in Å.
Space group P4/mmm (No. 123)
Unique sites:
1 Re 0.0000 0.0000 0.0000  4 Se 2.42, 2 As 2.46
2 As 0.0000 0.0000 0.5000  2 Re 2.46
3 Au 0.5000 0.5000 0.5000  4 As 3.42, 8 Se 3.45
4 Se 0.0000 0.5000 0.0000  2 Re 2.42



Record 3
Material: ReSnAs2Au
Method: DFT, PBE-GGA
State: optimized geometry

Properties
As for the total energy: -26.6 eV for the cell shown. The density of states at the Fermi level comes out at 4.471 states/eV/f.u. The calculation puts the magnetization at 0.00 μB/f.u. Its energy of formation from the pure elements is 2.47 eV per formula unit.

Cell lengths 4.7376, 4.7376, 5.4002 Å; angles 90.00, 90.00, 90.00 degrees
Last column: nearest neighbours and their distance in Å.
Space group P4/mmm (No. 123)
Unique sites:
1 Re 0.0000 0.0000 0.0000  4 As 2.37
2 Sn 0.0000 0.0000 0.5000  2 Re 2.70
3 As 0.0000 0.5000 0.0000  2 Re 2.37
4 Au 0.5000 0.5000 0.5000  4 Sn 3.35, 8 As 3.59



Record 4
Material: ZrRe2AsAu
Method: DFT, PBE-GGA
State: optimized geometry

Properties
As for the total energy: -31.2 eV for the cell shown. The density of states at the Fermi level comes out at 6.319 states/eV/f.u. The calculation puts the magnetization at 1.32 μB/f.u. Its energy of formation from the pure elements is 10.17 eV per formula unit.

Cell lengths 4.8637, 4.8637, 5.0468 Å; angles 90.00, 90.00, 90.00 degrees
Last column: nearest neighbours and their distance in Å.
Space group P4/mmm (No. 123)
Unique sites:
1 Zr 0.0000 0.0000 0.0000  2 Au 2.52
2 Re 0.0000 0.5000 0.5000  2 Au 2.43
3 As 0.5000 0.5000 0.0000  4 Zr 3.44, 8 Re 3.50
4 Au 0.0000 0.0000 0.5000  4 Re 2.43, 2 Zr 2.52